## Ta3MnFe2 (PBE)

Data for Ta3MnFe2 after structural relaxation.

Results
Symmetry: Cmmm (65)
Crystal system: orthorhombic
Raw total energy in eV/atom: -10.451
Formation enthalpy at 0 K in kJ per mole of atoms: -16.90
V in Å³ per atom: 14.4

Unit cell a=4.3367 b=6.8466 c=6.1198 alpha=90.00 beta=90.00 gamma=71.54
Last column: nearest neighbours and their distance in Å.
Sites, in units of the cell vectors:
Ta: 0.8332 0.3336 0.7506  5 Fe 2.65-2.66, 3 Mn 2.65
Fe: 0.6670 0.6660 0.5000  8 Ta 2.65-2.66
Fe: 0.3330 0.3340 0.5000  8 Ta 2.65-2.66
Fe: 0.0000 0.0000 0.5000  8 Ta 2.65
Ta: 0.5000 0.0000 0.2500  2 Mn 2.65, 6 Fe 2.65
Ta: 0.1668 0.6664 0.7506  5 Fe 2.65-2.66, 3 Mn 2.65
Ta: 0.8332 0.3336 0.2494  5 Fe 2.65-2.66, 3 Mn 2.65
Mn: 0.6666 0.6667 0.0000  8 Ta 2.65
Ta: 0.5000 0.0000 0.7500  2 Mn 2.65, 6 Fe 2.65
Fe: 0.0000 0.0000 0.0000  8 Ta 2.65
Ta: 0.1668 0.6664 0.2494  5 Fe 2.65-2.66, 3 Mn 2.65
Mn: 0.3334 0.3333 0.0000  8 Ta 2.65

***

## Ta6MnFe (PBE)

Data for Ta6MnFe after structural relaxation.

Results
Symmetry: I4/mmm (139)
Crystal system: tetragonal
Raw total energy in eV/atom: -11.169
Formation enthalpy at 0 K in kJ per mole of atoms: -7.30
V in Å³ per atom: 16.3

Unit cell a=4.4751 b=4.4751 c=7.2557 alpha=72.04 beta=72.04 gamma=90.00
Last column: nearest neighbours and their distance in Å.
Sites, in units of the cell vectors:
Ta: 0.2494 0.2495 0.5010  12 Ta 2.84-3.16
Ta: 0.7506 0.7505 0.4990  12 Ta 2.84-3.16
Mn: 0.0000 0.0000 0.0000  8 Ta 2.70
Ta: 0.8843 0.3843 0.2313  2 Fe 2.70, 2 Mn 2.70, 5 Ta 2.84-3.02
Ta: 0.3844 0.8843 0.2313  2 Mn 2.70, 2 Fe 2.70, 5 Ta 2.84-3.02
Fe: 0.5000 0.5000 0.0000  8 Ta 2.70
Ta: 0.6156 0.1157 0.7687  2 Mn 2.70, 2 Fe 2.70, 5 Ta 2.84-3.02
Ta: 0.1157 0.6157 0.7687  2 Fe 2.70, 2 Mn 2.70, 5 Ta 2.84-3.02

***

## Ta2MnFe (PBE)

Data for Ta2MnFe after structural relaxation.

Results
Symmetry: P4/mmm (123)
Crystal system: tetragonal
Raw total energy in eV/atom: -10.525
Formation enthalpy at 0 K in kJ per mole of atoms: -18.39
V in Å³ per atom: 14.3

Unit cell a=3.0716 b=4.3218 c=4.3219 alpha=90.00 beta=90.00 gamma=90.00
Last column: nearest neighbours and their distance in Å.
Sites, in units of the cell vectors:
Fe: 0.0000 0.0000 0.5000  8 Ta 2.65
Ta: 0.5000 0.0000 0.0000  4 Fe 2.65, 4 Mn 2.65
Ta: 0.5000 0.5000 0.5000  4 Mn 2.65, 4 Fe 2.65
Mn: 0.0000 0.5000 0.0000  8 Ta 2.65

***

## TaMnFe2 (PBE)

Data for TaMnFe2 after structural relaxation.

Results
Symmetry: I-42d (122)
Crystal system: tetragonal
Raw total energy in eV/atom: -8.984
Formation enthalpy at 0 K in kJ per mole of atoms: 48.48
V in Å³ per atom: 14.3

Unit cell a=3.5270 b=3.5270 c=9.5087 alpha=79.31 beta=79.31 gamma=90.00
Last column: nearest neighbours and their distance in Å.
Sites, in units of the cell vectors:
Fe: 0.8750 0.8592 0.7500  4 Fe 2.42-2.57, 2 Mn 2.59, 2 Ta 2.63
Ta: 0.0000 0.0000 0.0000  4 Mn 2.49, 4 Fe 2.63
Ta: 0.7500 0.2500 0.5000  4 Mn 2.49, 4 Fe 2.63
Mn: 0.5000 0.5000 0.0000  4 Ta 2.49, 4 Fe 2.59
Fe: 0.3750 0.3908 0.7500  4 Fe 2.42-2.57, 2 Mn 2.59, 2 Ta 2.63
Mn: 0.2500 0.7500 0.5000  4 Ta 2.49, 4 Fe 2.59
Fe: 0.1408 0.6250 0.2500  4 Fe 2.42-2.57, 2 Mn 2.59, 2 Ta 2.63
Fe: 0.6092 0.1250 0.2500  4 Fe 2.42-2.57, 2 Mn 2.59, 2 Ta 2.63

***

## Ta2MnFe (PBE)

Data for Ta2MnFe after structural relaxation.

Results
Symmetry: R3m (160)
Crystal system: trigonal
Raw total energy in eV/atom: -10.033
Formation enthalpy at 0 K in kJ per mole of atoms: 29.06
V in Å³ per atom: 15.5

Unit cell a=8.8434 b=8.8434 c=8.8434 alpha=18.66 beta=18.66 gamma=18.66
Last column: nearest neighbours and their distance in Å.
Sites, in units of the cell vectors:
Ta: 0.2417 0.2417 0.2417  3 Fe 2.65, 6 Ta 2.87
Fe: 0.4955 0.4955 0.4955  3 Mn 2.51, 3 Ta 2.65
Mn: 0.7565 0.7565 0.7565  3 Fe 2.51, 3 Ta 2.74
Ta: 0.0063 0.0063 0.0063  3 Mn 2.74, 9 Ta 2.87-3.04

***

## Ta2MnFe (PBE)

Data for Ta2MnFe after structural relaxation.

Results
Symmetry: P4/mmm (123)
Crystal system: tetragonal
Raw total energy in eV/atom: -10.527
Formation enthalpy at 0 K in kJ per mole of atoms: -18.57
V in Å³ per atom: 14.3

Unit cell a=3.0669 b=3.0669 c=6.0980 alpha=90.00 beta=90.00 gamma=90.00
Last column: nearest neighbours and their distance in Å.
Sites, in units of the cell vectors:
Ta: 0.0000 0.0000 0.5007  4 Mn 2.65, 4 Fe 2.65
Mn: 0.5000 0.5000 0.7500  8 Ta 2.65
Fe: 0.5000 0.5000 0.2500  8 Ta 2.65
Ta: 0.0000 0.0000 0.9993  4 Mn 2.65, 4 Fe 2.65

***

## Ta2MnFe (PBE)

Data for Ta2MnFe after structural relaxation.

Results
Symmetry: C2/m (12)
Crystal system: monoclinic
Raw total energy in eV/atom: -10.280
Formation enthalpy at 0 K in kJ per mole of atoms: 5.28
V in Å³ per atom: 14.8

Unit cell a=4.8768 b=4.8768 c=2.7898 alpha=80.01 beta=80.01 gamma=110.87
Last column: nearest neighbours and their distance in Å.
Sites, in units of the cell vectors:
Ta: 0.5000 0.5000 0.0000  2 Mn 2.59, 2 Fe 2.59, 4 Ta 2.77-2.79
Ta: 0.0000 0.0000 0.0000  2 Fe 2.59, 2 Mn 2.59, 4 Ta 2.77-2.79
Mn: 0.0000 0.5000 0.5000  4 Ta 2.59, 2 Fe 2.77, 2 Mn 2.79
Fe: 0.5000 0.0000 0.5000  4 Ta 2.59, 2 Mn 2.77, 2 Fe 2.79

***

## Ta2MnFe (PBE)

Data for Ta2MnFe after structural relaxation.

Results
Symmetry: F-43m (216)
Crystal system: cubic
Raw total energy in eV/atom: -10.268
Formation enthalpy at 0 K in kJ per mole of atoms: 6.43
V in Å³ per atom: 14.7

Unit cell a=4.3678 b=4.3678 c=4.3678 alpha=60.00 beta=60.00 gamma=60.00
Last column: nearest neighbours and their distance in Å.
Sites, in units of the cell vectors:
Mn: 0.2500 0.2500 0.2500  4 Ta 2.67, 4 Fe 2.67
Ta: 0.0000 0.0000 0.0000  4 Ta 2.67, 4 Mn 2.67
Ta: 0.7500 0.7500 0.7500  4 Ta 2.67, 4 Fe 2.67
Fe: 0.5000 0.5000 0.5000  4 Ta 2.67, 4 Mn 2.67

***

## Ta2MnFe3 (PBE)

Data for Ta2MnFe3 after structural relaxation.

Results
Symmetry: R-3m (166)
Crystal system: trigonal
Raw total energy in eV/atom: -9.911
Formation enthalpy at 0 K in kJ per mole of atoms: -19.35
V in Å³ per atom: 13.3

Unit cell a=4.8208 b=4.8208 c=4.8396 alpha=89.97 beta=119.88 gamma=120.03
Last column: nearest neighbours and their distance in Å.
Sites, in units of the cell vectors:
Ta: 0.7505 0.3754 0.1259  3 Mn 2.83, 9 Fe 2.83-2.84, 4 Ta 2.96
Ta: 0.2495 0.6246 0.8741  3 Mn 2.83, 9 Fe 2.83-2.84, 4 Ta 2.96
Fe: 0.5000 0.5000 0.5000  4 Fe 2.41, 2 Mn 2.42
Fe: 0.5000 0.0000 0.5000  4 Fe 2.41, 2 Mn 2.42
Fe: 0.0000 0.0000 0.5000  4 Fe 2.41, 2 Mn 2.42
Mn: 0.0000 0.0000 0.0000  6 Fe 2.42

***

## TaMnFe2 (PBE)

Data for TaMnFe2 after structural relaxation.

Results
Symmetry: P4/mmm (123)
Crystal system: tetragonal
Raw total energy in eV/atom: -9.563
Formation enthalpy at 0 K in kJ per mole of atoms: -7.30
V in Å³ per atom: 12.9

Unit cell a=4.0746 b=4.0746 c=3.1003 alpha=90.00 beta=90.00 gamma=90.00
Last column: nearest neighbours and their distance in Å.
Sites, in units of the cell vectors:
Fe: 0.0000 0.0000 0.0000  4 Ta 2.56, 4 Mn 2.56
Ta: 0.0000 0.5000 0.5000  8 Fe 2.56
Fe: 0.5000 0.5000 0.0000  4 Ta 2.56, 4 Mn 2.56
Mn: 0.5000 0.0000 0.5000  8 Fe 2.56

***

## TaMnFe2 (PBE)

Data for TaMnFe2 after structural relaxation.

Results
Symmetry: P2/m (10)
Crystal system: monoclinic
Raw total energy in eV/atom: -9.416
Formation enthalpy at 0 K in kJ per mole of atoms: 6.82
V in Å³ per atom: 13.1

Unit cell a=4.0664 b=2.6487 c=4.9609 alpha=77.67 beta=90.00 gamma=90.00
Last column: nearest neighbours and their distance in Å.
Sites, in units of the cell vectors:
Fe: 0.0000 0.0041 0.0186  3 Fe 2.40-2.65, 2 Mn 2.49, 2 Ta 2.60
Mn: 0.5000 0.2500 0.2500  4 Fe 2.49, 2 Ta 2.55, 2 Mn 2.65
Ta: 0.5000 0.7500 0.7500  2 Mn 2.55, 4 Fe 2.60, 2 Ta 2.65
Fe: 0.0000 0.4959 0.4814  3 Fe 2.40-2.65, 2 Mn 2.49, 2 Ta 2.60

***

## Ta2MnFe (PBE)

Data for Ta2MnFe after structural relaxation.

Results
Symmetry: Cmmm (65)
Crystal system: orthorhombic
Raw total energy in eV/atom: -10.280
Formation enthalpy at 0 K in kJ per mole of atoms: 5.23
V in Å³ per atom: 14.7

Unit cell a=2.7744 b=2.7744 c=8.0848 alpha=90.00 beta=90.00 gamma=108.76
Last column: nearest neighbours and their distance in Å.
Sites, in units of the cell vectors:
Fe: 0.5000 0.5000 0.2500  4 Ta 2.60, 4 Fe 2.77
Mn: 0.5000 0.5000 0.7500  4 Ta 2.58, 4 Mn 2.77
Ta: 0.0000 0.0000 0.5015  2 Mn 2.58, 2 Fe 2.60, 4 Ta 2.77
Ta: 0.0000 0.0000 0.9985  2 Mn 2.58, 2 Fe 2.60, 4 Ta 2.77

***

## TaMn3Fe (PBE)

Data for TaMn3Fe after structural relaxation.

Results
Symmetry: Pm-3m (221)
Crystal system: cubic
Raw total energy in eV/atom: -7.941
Formation enthalpy at 0 K in kJ per mole of atoms: 156.67
V in Å³ per atom: 19.3

Unit cell a=4.5855 b=4.5855 c=4.5855 alpha=90.00 beta=90.00 gamma=90.00
Last column: nearest neighbours and their distance in Å.
Sites, in units of the cell vectors:
Fe: 0.5000 0.5000 0.5000  12 Mn 3.24
Mn: 0.0000 0.0000 0.5000  2 Ta 2.29
Ta: 0.0000 0.0000 0.0000  6 Mn 2.29
Mn: 0.0000 0.5000 0.0000  2 Ta 2.29
Mn: 0.5000 0.0000 0.0000  2 Ta 2.29

***

## Ta3Mn2Fe (PBE)

Data for Ta3Mn2Fe after structural relaxation.

Results
Symmetry: P4/mmm (123)
Crystal system: tetragonal
Raw total energy in eV/atom: -10.604
Formation enthalpy at 0 K in kJ per mole of atoms: -20.34
V in Å³ per atom: 14.3

Unit cell a=3.0639 b=3.0639 c=9.1589 alpha=90.00 beta=90.00 gamma=90.00
Last column: nearest neighbours and their distance in Å.
Sites, in units of the cell vectors:
Ta: 0.0000 0.0000 0.0000  8 Mn 2.66
Mn: 0.5000 0.5000 0.8324  8 Ta 2.64-2.66
Ta: 0.0000 0.0000 0.3327  4 Mn 2.64, 4 Fe 2.65
Mn: 0.5000 0.5000 0.1676  8 Ta 2.64-2.66
Ta: 0.0000 0.0000 0.6673  4 Mn 2.64, 4 Fe 2.65
Fe: 0.5000 0.5000 0.5000  8 Ta 2.65